Material: Na3Co2Cl3F4
Method: DFT, PBE with a Hubbard U
State: optimized geometry

a b c (Å): 4.962 21.664 4.005
angles (deg): 90.00 90.00 90.00
Space group Imm2 (No. 44)
One atom of each set of equivalent atoms:
Na: 0.000 0.000 0.000
Na: 0.000 0.193 0.002
Co: 0.000 0.383 0.999
Cl: 0.000 0.107 0.501
Cl: 0.000 0.500 0.997
F: 0.000 0.293 0.998
F: 0.000 0.383 0.499

Results
VASP energy = -4.122 eV per atom